# NbNi5P6O24

Crystalline NbNi5P6O24 at its relaxed geometry (PBE+U, the Alexandria database).

Density of states at the Fermi level, states/eV per atom: 0.06
Uncorrected energy, eV per formula unit: -238.72

a = 8.5299 Å, b = 8.5299 Å, c = 8.5299 Å
α = 61.14°, β = 61.14°, γ = 61.14°
Positions (direct):
Nb (0.0000, 0.0000, 0.0000)
Ni (0.2172, 0.2172, 0.2172)
Ni (0.3561, 0.3561, 0.3561)
Ni (0.4952, 0.4952, 0.4952)
Ni (0.7150, 0.7150, 0.7150)
Ni (0.8530, 0.8530, 0.8530)
P (0.1131, 0.4101, 0.8038)
P (0.3125, 0.9100, 0.6016)
P (0.4101, 0.8038, 0.1131)
P (0.6016, 0.3125, 0.9100)
P (0.8038, 0.1131, 0.4101)
P (0.9100, 0.6016, 0.3125)
O (0.0412, 0.2418, 0.8635)
O (0.1114, 0.4605, 0.2843)
O (0.1127, 0.9115, 0.7663)
O (0.2069, 0.3494, 0.9480)
O (0.2418, 0.8635, 0.0412)
O (0.2516, 0.4277, 0.6021)
O (0.2843, 0.1114, 0.4605)
O (0.3494, 0.9480, 0.2069)
O (0.3636, 0.7613, 0.5158)
O (0.4277, 0.6021, 0.2516)
O (0.4605, 0.2843, 0.1114)
O (0.4607, 0.8482, 0.6864)
O (0.5158, 0.3636, 0.7613)
O (0.5938, 0.8162, 0.9457)
O (0.6021, 0.2516, 0.4277)
O (0.6864, 0.4607, 0.8482)
O (0.7613, 0.5158, 0.3636)
O (0.7663, 0.1127, 0.9115)
O (0.8162, 0.9457, 0.5938)
O (0.8482, 0.6864, 0.4607)
O (0.8635, 0.0412, 0.2418)
O (0.9115, 0.7663, 0.1127)
O (0.9457, 0.5938, 0.8162)
O (0.9480, 0.2069, 0.3494)